Material: Cu2SiPb
Method: DFT, GGA-PBE
State: relaxed

abc: 4.468 4.468 8.497
angles: 74.76 74.76 90.00
Atoms (fractional coordinates):
Cu 0.375 0.505 0.750
Cu 0.875 0.745 0.750
Cu 0.255 0.625 0.250
Cu 0.495 0.125 0.250
Pb 0.000 0.000 0.000
Pb 0.750 0.250 0.500
Si 0.250 0.750 0.500
Si 0.500 0.500 0.000

Properties
raw formation energy = 1.0 eV/f.u.
energy = -4.073 eV/atom
energy relative to the lowest polymorph listed for this composition = 3.77 kcal/mol of atoms
M_tot = 0.00 μB/atom